(1)
# Mg3Ir | Alexandria via LeMat-Bulk | PBEsol | optimized geometry
data_Mg3Ir
_chemical_formula_sum 'Mg6 Ir2'
_cell_length_a 3.249
_cell_length_b 4.564
_cell_length_c 9.284
_cell_angle_alpha 90.00
_cell_angle_beta 90.00
_cell_angle_gamma 90.00
_symmetry_space_group_name_H-M 'I m m m'
_symmetry_Int_Tables_number 71
_symmetry_space_group_name_Hall '-I 2 2'
loop_
_atom_site_label
_atom_site_fract_x
_atom_site_fract_y
_atom_site_fract_z
Mg1 0.000 0.000 0.000
Mg2 0.000 0.500 0.225
Ir1 0.000 0.000 0.500
# Calculated formation energy (kJ/mol of formula units): -78
# Crystal system: orthorhombic

(2)
# Mg3Ir | Alexandria via LeMat-Bulk | PBEsol | optimized geometry
data_Mg3Ir
_chemical_formula_sum 'Mg12 Ir4'
_cell_length_a 7.475
_cell_length_b 8.017
_cell_length_c 5.029
_cell_angle_alpha 90.00
_cell_angle_beta 90.00
_cell_angle_gamma 90.00
_symmetry_space_group_name_H-M 'P n m a'
_symmetry_Int_Tables_number 62
loop_
_symmetry_equiv_pos_as_xyz
'x,y,z'
'-x,-y,-z'
'-x+1/2,-y,z+1/2'
'x+1/2,y,-z+1/2'
'x+1/2,-y+1/2,-z+1/2'
'-x+1/2,y+1/2,z+1/2'
'-x,y+1/2,-z'
'x,-y+1/2,z'
loop_
_atom_site_label
_atom_site_fract_x
_atom_site_fract_y
_atom_site_fract_z
Mg1 0.022 0.250 0.079
Mg2 0.170 0.066 0.594
Ir1 0.133 0.750 0.433
# Calculated formation energy (kJ/mol of formula units): -103
# Crystal system: orthorhombic

(3)
# MgIr3 | Alexandria via LeMat-Bulk | PBEsol | optimized geometry
data_MgIr3
_chemical_formula_sum 'Mg2 Ir6'
_cell_length_a 5.4887
_cell_length_b 5.4887
_cell_length_c 4.4069
_cell_angle_alpha 90.00
_cell_angle_beta 90.00
_cell_angle_gamma 120.00
_symmetry_space_group_name_H-M 'P 63/m m c'
_symmetry_Int_Tables_number 194
_symmetry_space_group_name_Hall '-P 6c 2c'
loop_
_atom_site_label
_atom_site_fract_x
_atom_site_fract_y
_atom_site_fract_z
Mg1 0.3333 0.6667 0.2500
Ir1 0.1675 0.3350 0.7500
# Calculated formation energy (kJ/mol of formula units): -3
# Crystal system: hexagonal

(4)
# Mg3Ir | Alexandria via LeMat-Bulk | PBEsol | optimized geometry
data_Mg3Ir
_chemical_formula_sum 'Mg3 Ir1'
_cell_length_a 4.994
_cell_length_b 4.994
_cell_length_c 4.994
_cell_angle_alpha 90.00
_cell_angle_beta 90.00
_cell_angle_gamma 90.00
_symmetry_space_group_name_H-M 'P m -3 m'
_symmetry_Int_Tables_number 221
_symmetry_space_group_name_Hall '-P 4 2 3'
loop_
_atom_site_label
_atom_site_fract_x
_atom_site_fract_y
_atom_site_fract_z
Mg1 0.000 0.000 0.500
Ir1 0.000 0.000 0.000
# Calculated formation energy (kJ/mol of formula units): 94
# Crystal system: cubic

(5)
# Mg3Ir | Alexandria via LeMat-Bulk | PBEsol | optimized geometry
data_Mg3Ir
_chemical_formula_sum 'Mg6 Ir2'
_cell_length_a 5.153
_cell_length_b 5.153
_cell_length_c 5.153
_cell_angle_alpha 90.00
_cell_angle_beta 90.00
_cell_angle_gamma 90.00
_symmetry_space_group_name_H-M 'P m -3 n'
_symmetry_Int_Tables_number 223
_symmetry_space_group_name_Hall '-P 4n 2 3'
loop_
_atom_site_label
_atom_site_fract_x
_atom_site_fract_y
_atom_site_fract_z
Mg1 0.000 0.250 0.500
Ir1 0.000 0.000 0.000
# Calculated formation energy (kJ/mol of formula units): -59
# Crystal system: cubic

(6)
# MgIr2 | Alexandria via LeMat-Bulk | PBEsol | optimized geometry
data_MgIr2
_chemical_formula_sum 'Mg4 Ir8'
_cell_length_a 10.017
_cell_length_b 2.750
_cell_length_c 6.605
_cell_angle_alpha 90.00
_cell_angle_beta 104.00
_cell_angle_gamma 90.00
_symmetry_space_group_name_H-M 'C 1 2/m 1'
_symmetry_Int_Tables_number 12
loop_
_symmetry_equiv_pos_as_xyz
'x,y,z'
'-x,-y,-z'
'-x,y,-z'
'x,-y,z'
'x+1/2,y+1/2,z'
'-x+1/2,-y+1/2,-z'
'-x+1/2,y+1/2,-z'
'x+1/2,-y+1/2,z'
loop_
_atom_site_label
_atom_site_fract_x
_atom_site_fract_y
_atom_site_fract_z
Mg1 0.021 0.000 0.301
Ir1 0.142 0.500 0.018
Ir2 0.209 0.500 0.645
# Calculated formation energy (kJ/mol of formula units): -52
# Crystal system: monoclinic

no.,Fermi-level density of states (states/eV per atom)
1,0.289
2,0.346
3,1.802
4,0.359
5,0.431
6,0.835